1.
# BaCaMg

BaCaMg after structural relaxation (PBE, Alexandria).

Cell lengths 8.2451, 8.2451, 8.2451 Å; angles 90.00, 90.00, 90.00 degrees
Closest atoms and distances in Å follow each position.
Space group F-43m (No. 216)
Symmetry-distinct sites (fractional):
Ba1 0.0000 0.0000 0.0000 (multiplicity 4)  4 Ca 3.57
Ca1 0.2500 0.2500 0.2500 (multiplicity 4)  4 Ba 3.57, 4 Mg 3.57
Mg1 0.0000 0.0000 0.5000 (multiplicity 4)  4 Ca 3.57

Values from the calculation:
D(E_F), states/eV per cell: 21.31
Calculated volume, Å³ per cell: 560.5
ρ, Mg/m³: 2.4
Distance to the lowest polymorph of the same formula, eV/atom: 0.4017
Calculated total energy, eV per atom: -1.461


2.
# Ac4Ag2Au

Ac4Ag2Au after structural relaxation (PBE, Alexandria).

Cell lengths 7.8530, 7.8530, 7.7890 Å; angles 90.00, 90.00, 90.00 degrees
Closest atoms and distances in Å follow each position.
Space group I4/mmm (No. 139)
Symmetry-distinct sites (fractional):
Ac1 0.2500 0.2500 0.2500 (multiplicity 8)  2 Au 3.39, 4 Ag 3.39
Ag1 0.0000 0.5000 0.0000 (multiplicity 4)  8 Ac 3.39
Au1 0.0000 0.0000 0.0000 (multiplicity 2)  8 Ac 3.39

Values from the calculation:
D(E_F), states/eV per cell: 14.06
Calculated volume, Å³ per cell: 480.3
ρ, Mg/m³: 9.1
Distance to the lowest polymorph of the same formula, eV/atom: 0.0128
Calculated total energy, eV per atom: -3.917


3.
# LiNpRh4

LiNpRh4 after structural relaxation (PBE, Alexandria).

Cell lengths 13.5123, 5.3209, 5.4311 Å; angles 90.00, 93.96, 90.00 degrees
Closest atoms and distances in Å follow each position.
Space group C2/c (No. 15)
Symmetry-distinct sites (fractional):
Li1 0.0000 0.1081 0.2500 (multiplicity 4)  6 Rh 2.56-2.76
Np1 0.2500 0.2500 0.5000 (multiplicity 4)  4 Rh 2.37-2.48
Rh1 0.0876 0.4146 0.6140 (multiplicity 8)  1 Np 2.48, 3 Rh 2.69-2.75, 1 Li 2.76
Rh2 0.1523 0.1212 0.9961 (multiplicity 8)  1 Np 2.37, 1 Li 2.56

Values from the calculation:
D(E_F), states/eV per cell: 27.33
Calculated volume, Å³ per cell: 389.5
ρ, Mg/m³: 11.2
Distance to the lowest polymorph of the same formula, eV/atom: 0.0635
Calculated total energy, eV per atom: -7.557


no.,E_form (eV per atom)
1,0.38
2,-0.29
3,-0.18